A plane-wave DFT calculation with PBE+U was carried out for Cr3OsO after structural relaxation.

Computed properties:
M_tot in Bohr magnetons per cell: 10.58
Distance to the lowest polymorph of the same formula in meV/atom: 0.0

Structure (CIF):
```
data_Cr3OsO
_symmetry_space_group_name_H-M 'P m -3 m'
_symmetry_Int_Tables_number 221
_symmetry_space_group_name_Hall '-P 4 2 3'
_cell_length_a 4.1408
_cell_length_b 4.1408
_cell_length_c 4.1408
_cell_angle_alpha 90.00
_cell_angle_beta 90.00
_cell_angle_gamma 90.00
loop_
_atom_site_label
_atom_site_type_symbol
_atom_site_fract_x
_atom_site_fract_y
_atom_site_fract_z
Cr1 Cr 0.0000 0.0000 0.5000
Os1 Os 0.5000 0.5000 0.5000
O1 O 0.0000 0.0000 0.0000
```